(1)
Density functional theory data (PBE) for a relaxed TbPmSmSc crystal.

offset from the most stable computed form	4.7	kJ per mole of atoms
calculated total energy	-0.36432	Ry per atom
space group	F-43m, No. 216

a b c (Å): 5.6128 5.6128 5.6128
angles (deg): 60.00 60.00 60.00
Fractional positions:
Tb  0.0000  0.0000  0.0000
Pm  0.2500  0.2500  0.2500
Sm  0.5000  0.5000  0.5000
Sc  0.7500  0.7500  0.7500

(2)
Density functional theory data (PBE) for a relaxed Tb2PmSm2Sc2 crystal.

calculated total energy	-0.37094	Ry per atom
space group	C2/m, No. 12

a b c (Å): 5.9459 5.9459 11.6575
angles (deg): 108.10 108.10 33.75
Fractional positions:
Tb  0.0464  0.0464  0.2693
Tb  0.9536  0.9536  0.7307
Pm  0.5000  0.5000  0.0000
Sm  0.1713  0.1713  0.5888
Sm  0.8287  0.8287  0.4112
Sc  0.2730  0.2730  0.1320
Sc  0.7270  0.7270  0.8680

| no. | energy relative to the elements (eV/f.u.) | V (Å³ per atom) | calculated density (Mg/m³) |
| --- | --- | --- | --- |
| 1 | 0.60 | 31.259 | 6.6 |
| 2 | 0.78 | 30.942 | 6.5 |